Below is a relaxed Ni2BrF crystal, with properties calculated at the PBE with a Hubbard U level.

## Properties
Magnetic moment   0.500 μB per atom
Energy above the most stable polymorph in this dataset   0 meV per atom
E   -10.477 eV/f.u.
N(E_F)   0.000 states/eV/f.u.

Cell: 5.4578 5.4578 5.4578 Å, 111.20 111.20 106.06°
Sites, in units of the cell vectors:
Ni 0.0815 0.1250 0.4565
Ni 0.3750 0.9185 0.0435
Ni 0.6685 0.6250 0.5435
Ni 0.8750 0.3315 0.9565
Br 0.2500 0.7500 0.5000
Br 0.5000 0.5000 0.0000
F 0.0000 0.0000 0.0000
F 0.7500 0.2500 0.5000

Below is a relaxed NiBrF crystal, with properties calculated at the PBE with a Hubbard U level.

## Properties
Magnetic moment   0.667 μB per atom
E   -10.013 eV/f.u.
N(E_F)   0.000 states/eV/f.u.

Cell: 6.3535 6.3535 5.7587 Å, 108.24 108.24 31.54°
Sites, in units of the cell vectors:
Ni 0.2490 0.2490 0.2317
Ni 0.7510 0.7510 0.7683
Br 0.3833 0.3833 0.6724
Br 0.6167 0.6167 0.3276
F 0.1728 0.1728 0.8617
F 0.8272 0.8272 0.1383

Below is a relaxed NiBr2F crystal, with properties calculated at the PBE with a Hubbard U level.

## Properties
Magnetic moment   0.750 μB per atom
Energy above the most stable polymorph in this dataset   0 meV per atom
E   -8.255 eV/f.u.
N(E_F)   0.129 states/eV/f.u.

Cell: 6.4434 6.4434 6.4434 Å, 119.68 119.68 90.56°
Sites, in units of the cell vectors:
Ni 0.0000 0.0000 0.0000
Ni 0.7500 0.2500 0.5000
Br 0.0826 0.6250 0.9576
Br 0.3750 0.3326 0.4576
Br 0.6674 0.1250 0.0424
Br 0.8750 0.9174 0.5424
F 0.2500 0.7500 0.5000
F 0.5000 0.5000 0.0000

Below is a relaxed NiBr2F crystal, with properties calculated at the PBE with a Hubbard U level.

## Properties
Magnetic moment   0.750 μB per atom
Energy above the most stable polymorph in this dataset   346 meV per atom
E   -6.871 eV/f.u.
N(E_F)   3.011 states/eV/f.u.

Cell: 8.1697 8.1697 8.1697 Å, 27.53 27.53 27.53°
Sites, in units of the cell vectors:
Ni 0.0000 0.0000 0.0000
Br 0.0947 0.0947 0.0947
Br 0.9053 0.9053 0.9053
F 0.5000 0.5000 0.5000

Below is a relaxed NiBrF2 crystal, with properties calculated at the PBE with a Hubbard U level.

## Properties
Magnetic moment   0.250 μB per atom
Energy above the most stable polymorph in this dataset   1174 meV per atom
E   -9.142 eV/f.u.
N(E_F)   3.718 states/eV/f.u.

Cell: 4.3180 4.3180 4.3180 Å, 60.00 60.00 60.00°
Sites, in units of the cell vectors:
Ni 0.0000 0.0000 0.0000
Br 0.5000 0.5000 0.5000
F 0.2500 0.2500 0.2500
F 0.7500 0.7500 0.7500

Below is a relaxed NiBr2F8 crystal, with properties calculated at the PBE with a Hubbard U level.

## Properties
Magnetic moment   0.179 μB per atom
E   -34.040 eV/f.u.
N(E_F)   0.000 states/eV/f.u.

Cell: 5.6516 5.9712 6.3612 Å, 83.14 69.12 69.41°
Sites, in units of the cell vectors:
Ni 0.0000 0.0000 0.0000
Br 0.4189 0.8351 0.2363
Br 0.5811 0.1649 0.7637
F 0.1194 0.1400 0.1968
F 0.1886 0.6987 0.1695
F 0.3476 0.9908 0.7384
F 0.3491 0.4577 0.7331
F 0.6509 0.5423 0.2669
F 0.6524 0.0092 0.2616
F 0.8114 0.3013 0.8305
F 0.8806 0.8600 0.8032

Below is a relaxed NiBrF3 crystal, with properties calculated at the PBE with a Hubbard U level.

## Properties
Magnetic moment   0.228 μB per atom
Energy above the most stable polymorph in this dataset   1292 meV per atom
E   -9.089 eV/f.u.
N(E_F)   22.144 states/eV/f.u.

Cell: 4.4930 4.4930 4.4930 Å, 90.00 90.00 90.00°
Sites, in units of the cell vectors:
Ni 0.0000 0.0000 0.0000
Br 0.5000 0.5000 0.5000
F 0.0000 0.5000 0.5000
F 0.5000 0.0000 0.5000
F 0.5000 0.5000 0.0000

Below is a relaxed Ni2BrF2 crystal, with properties calculated at the PBE with a Hubbard U level.

## Properties
Magnetic moment   0.632 μB per atom
Energy above the most stable polymorph in this dataset   161 meV per atom
E   -14.406 eV/f.u.
N(E_F)   1.664 states/eV/f.u.

Cell: 5.8117 5.8117 5.8117 Å, 143.84 143.84 52.07°
Sites, in units of the cell vectors:
Ni 0.1324 0.1324 0.0000
Ni 0.8676 0.8676 0.0000
Br 0.5000 0.5000 0.0000
F 0.2500 0.7500 0.5000
F 0.7500 0.2500 0.5000

Below is a relaxed Ni2BrF2 crystal, with properties calculated at the PBE with a Hubbard U level.

## Properties
Magnetic moment   0.600 μB per atom
Energy above the most stable polymorph in this dataset   0 meV per atom
E   -15.211 eV/f.u.
N(E_F)   9.711 states/eV/f.u.

Cell: 6.9424 6.9424 3.7788 Å, 90.00 90.00 90.00°
Sites, in units of the cell vectors:
Ni 0.1818 0.3182 0.0000
Ni 0.3182 0.8182 0.0000
Ni 0.6818 0.1818 0.0000
Ni 0.8182 0.6818 0.0000
Br 0.0000 0.0000 0.0000
Br 0.5000 0.5000 0.0000
F 0.1462 0.3538 0.5000
F 0.3538 0.8538 0.5000
F 0.6462 0.1462 0.5000
F 0.8538 0.6462 0.5000

Below is a relaxed NiBrF2 crystal, with properties calculated at the PBE with a Hubbard U level.

## Properties
Magnetic moment   0.500 μB per atom
Energy above the most stable polymorph in this dataset   0 meV per atom
E   -13.838 eV/f.u.
N(E_F)   1.145 states/eV/f.u.

Cell: 9.3039 9.3039 9.3039 Å, 18.98 18.98 18.98°
Sites, in units of the cell vectors:
Ni 0.0000 0.0000 0.0000
Br 0.5000 0.5000 0.5000
F 0.3697 0.3697 0.3697
F 0.6303 0.6303 0.6303

Below is a relaxed NiBrF2 crystal, with properties calculated at the PBE with a Hubbard U level.

## Properties
Magnetic moment   0.750 μB per atom
Energy above the most stable polymorph in this dataset   359 meV per atom
E   -12.403 eV/f.u.
N(E_F)   2.629 states/eV/f.u.

Cell: 6.4623 6.4623 6.4623 Å, 127.51 127.51 77.41°
Sites, in units of the cell vectors:
Ni 0.0000 0.0000 0.0000
Ni 0.7500 0.2500 0.5000
Br 0.2500 0.7500 0.5000
Br 0.5000 0.5000 0.0000
F 0.3750 0.1299 0.2549
F 0.8701 0.1250 0.2451
F 0.8750 0.1201 0.7451
F 0.8799 0.6250 0.7549

Below is a relaxed NiBr2F crystal, with properties calculated at the PBE with a Hubbard U level.

## Properties
Magnetic moment   0.750 μB per atom
Energy above the most stable polymorph in this dataset   276 meV per atom
E   -7.153 eV/f.u.
N(E_F)   1.361 states/eV/f.u.

Cell: 4.5572 4.5572 4.5572 Å, 60.00 60.00 60.00°
Sites, in units of the cell vectors:
Ni 0.0000 0.0000 0.0000
Br 0.2500 0.2500 0.2500
Br 0.7500 0.7500 0.7500
F 0.5000 0.5000 0.5000

Below is a relaxed NiBr3F crystal, with properties calculated at the PBE with a Hubbard U level.

## Properties
Magnetic moment   0.013 μB per atom
Energy above the most stable polymorph in this dataset   0 meV per atom
E   -9.160 eV/f.u.
N(E_F)   8.758 states/eV/f.u.

Cell: 5.0270 5.0270 5.0270 Å, 90.00 90.00 90.00°
Sites, in units of the cell vectors:
Ni 0.0000 0.0000 0.0000
Br 0.0000 0.0000 0.5000
Br 0.0000 0.5000 0.0000
Br 0.5000 0.0000 0.0000
F 0.5000 0.5000 0.5000

Below is a relaxed NiBr3F crystal, with properties calculated at the PBE with a Hubbard U level.

## Properties
Magnetic moment   0.248 μB per atom
Energy above the most stable polymorph in this dataset   739 meV per atom
E   -5.463 eV/f.u.
N(E_F)   13.366 states/eV/f.u.

Cell: 4.9134 4.9134 4.9134 Å, 90.00 90.00 90.00°
Sites, in units of the cell vectors:
Ni 0.0000 0.0000 0.0000
Br 0.0000 0.5000 0.5000
Br 0.5000 0.0000 0.5000
Br 0.5000 0.5000 0.0000
F 0.5000 0.5000 0.5000

Below is a relaxed NiBr2F4 crystal, with properties calculated at the PBE with a Hubbard U level.

## Properties
Magnetic moment   0.287 μB per atom
E   -19.423 eV/f.u.

Cell: 7.1997 7.1997 7.1997 Å, 146.28 146.28 48.44°
Sites, in units of the cell vectors:
Ni 0.0000 0.0000 0.0000
Br 0.3022 0.3022 0.0000
Br 0.6978 0.6978 0.0000
F 0.0000 0.5000 0.5000
F 0.1620 0.1620 0.0000
F 0.5000 0.0000 0.5000
F 0.8380 0.8380 0.0000

Below is a relaxed Ni2Br4F crystal, with properties calculated at the PBE with a Hubbard U level.

## Properties
Magnetic moment   0.604 μB per atom
E   -13.633 eV/f.u.
N(E_F)   4.296 states/eV/f.u.

Cell: 7.8955 7.8955 7.8955 Å, 143.39 143.39 52.74°
Sites, in units of the cell vectors:
Ni 0.0849 0.0849 0.0000
Ni 0.9151 0.9151 0.0000
Br 0.0000 0.5000 0.5000
Br 0.2495 0.2495 0.0000
Br 0.5000 0.0000 0.5000
Br 0.7505 0.7505 0.0000
F 0.5000 0.5000 0.0000

Below is a relaxed NiBrF3 crystal, with properties calculated at the PBE with a Hubbard U level.

## Properties
Magnetic moment   0.800 μB per atom
Energy above the most stable polymorph in this dataset   0 meV per atom
E   -15.551 eV/f.u.
N(E_F)   1.919 states/eV/f.u.

Cell: 4.0824 4.0824 4.0824 Å, 90.00 90.00 90.00°
Sites, in units of the cell vectors:
Ni 0.0000 0.0000 0.0000
Br 0.5000 0.5000 0.5000
F 0.0000 0.0000 0.5000
F 0.0000 0.5000 0.0000
F 0.5000 0.0000 0.0000

Below is a relaxed Ni2BrF crystal, with properties calculated at the PBE with a Hubbard U level.

## Properties
Magnetic moment   0.500 μB per atom
Energy above the most stable polymorph in this dataset   828 meV per atom
E   -7.164 eV/f.u.
N(E_F)   2.921 states/eV/f.u.

Cell: 4.1972 4.1972 4.1972 Å, 60.00 60.00 60.00°
Sites, in units of the cell vectors:
Ni 0.2500 0.2500 0.2500
Ni 0.7500 0.7500 0.7500
Br 0.0000 0.0000 0.0000
F 0.5000 0.5000 0.5000

Below is a relaxed NiBrOF2 crystal, with properties calculated at the PBE with a Hubbard U level.

## Properties
Magnetic moment   0.339 μB per atom
Energy above the most stable polymorph in this dataset   899 meV per atom
E   -11.610 eV/f.u.
N(E_F)   9.377 states/eV/f.u.

Cell: 4.7289 4.7289 3.7233 Å, 90.00 90.00 90.00°
Sites, in units of the cell vectors:
Ni 0.0000 0.0000 0.0000
Br 0.5000 0.5000 0.5000
O 0.5000 0.5000 0.0000
F 0.0000 0.5000 0.5000
F 0.5000 0.0000 0.5000

Below is a relaxed NiBrO2F crystal, with properties calculated at the PBE with a Hubbard U level.

## Properties
Magnetic moment   0.320 μB per atom
E   -16.515 eV/f.u.
N(E_F)   2.542 states/eV/f.u.

Cell: 3.9520 3.9520 3.7985 Å, 90.00 90.00 90.00°
Sites, in units of the cell vectors:
Ni 0.0000 0.0000 0.0000
Br 0.5000 0.5000 0.5000
O 0.0000 0.5000 0.0000
O 0.5000 0.0000 0.0000
F 0.0000 0.0000 0.5000

Below is a relaxed NiBrO2F crystal, with properties calculated at the PBE with a Hubbard U level.

## Properties
Magnetic moment   0.218 μB per atom
E   -14.298 eV/f.u.
N(E_F)   3.634 states/eV/f.u.

Cell: 3.7402 3.7402 5.5150 Å, 90.00 90.00 90.00°
Sites, in units of the cell vectors:
Ni 0.0000 0.0000 0.0000
Br 0.5000 0.5000 0.5000
O 0.0000 0.5000 0.5000
O 0.5000 0.0000 0.5000
F 0.5000 0.5000 0.0000

Below is a relaxed NiBrOF2 crystal, with properties calculated at the PBE with a Hubbard U level.

## Properties
Magnetic moment   0.362 μB per atom
Energy above the most stable polymorph in this dataset   0 meV per atom
E   -16.105 eV/f.u.
N(E_F)   2.290 states/eV/f.u.

Cell: 3.6969 3.6969 4.9530 Å, 90.00 90.00 90.00°
Sites, in units of the cell vectors:
Ni 0.0000 0.0000 0.0000
Br 0.5000 0.5000 0.5000
O 0.0000 0.0000 0.5000
F 0.0000 0.5000 0.0000
F 0.5000 0.0000 0.0000

Below is a relaxed Rb2NiBrF6 crystal, with properties calculated at the PBE with a Hubbard U level.

## Properties
Magnetic moment   0.100 μB per atom
E   -36.892 eV/f.u.
N(E_F)   0.000 states/eV/f.u.

Cell: 6.2911 6.2911 6.2911 Å, 115.40 115.40 98.17°
Sites, in units of the cell vectors:
Rb 0.2500 0.7500 0.5000
Rb 0.7500 0.2500 0.5000
Ni 0.0000 0.0000 0.0000
Br 0.5000 0.5000 0.0000
F 0.1940 0.1940 0.3879
F 0.1940 0.8060 0.0000
F 0.2599 0.2599 0.0000
F 0.7401 0.7401 0.0000
F 0.8060 0.1940 0.0000
F 0.8060 0.8060 0.6121

Below is a relaxed Rb2NiBr6F crystal, with properties calculated at the PBE with a Hubbard U level.

## Properties
Magnetic moment   0.100 μB per atom
E   -24.376 eV/f.u.
N(E_F)   6.099 states/eV/f.u.

Cell: 7.5693 7.5693 7.5693 Å, 122.70 122.70 85.39°
Sites, in units of the cell vectors:
Rb 0.2500 0.7500 0.5000
Rb 0.7500 0.2500 0.5000
Ni 0.0000 0.0000 0.0000
Br 0.2192 0.2192 0.0000
Br 0.2445 0.2445 0.4890
Br 0.2445 0.7555 0.0000
Br 0.7555 0.2445 0.0000
Br 0.7555 0.7555 0.5110
Br 0.7808 0.7808 0.0000
F 0.5000 0.5000 0.0000

Below is a relaxed RbNiBrF2 crystal, with properties calculated at the PBE with a Hubbard U level.

## Properties
Magnetic moment   0.392 μB per atom
E   -18.280 eV/f.u.
N(E_F)   0.000 states/eV/f.u.

Cell: 7.0950 7.0950 7.6365 Å, 90.00 90.00 148.08°
Sites, in units of the cell vectors:
Rb 0.2294 0.7706 0.7500
Rb 0.7706 0.2294 0.2500
Ni 0.5000 0.5000 0.0000
Ni 0.5000 0.5000 0.5000
Br 0.0321 0.9679 0.2500
Br 0.9679 0.0321 0.7500
F 0.3630 0.6370 0.0370
F 0.3630 0.6370 0.4630
F 0.6370 0.3630 0.5370
F 0.6370 0.3630 0.9630

Below is a relaxed NiSe2BrF crystal, with properties calculated at the PBE with a Hubbard U level.

## Properties
Magnetic moment   0.490 μB per atom
Energy above the most stable polymorph in this dataset   0 meV per atom
E   -11.118 eV/f.u.
N(E_F)   5.012 states/eV/f.u.

Cell: 4.7395 4.7395 4.8862 Å, 90.00 90.00 90.00°
Sites, in units of the cell vectors:
Ni 0.0000 0.0000 0.0000
Se 0.0000 0.5000 0.0000
Se 0.5000 0.0000 0.0000
Br 0.0000 0.0000 0.5000
F 0.5000 0.5000 0.5000

Below is a relaxed NiSe2BrF crystal, with properties calculated at the PBE with a Hubbard U level.

## Properties
Magnetic moment   0.246 μB per atom
Energy above the most stable polymorph in this dataset   33 meV per atom
E   -10.955 eV/f.u.
N(E_F)   6.492 states/eV/f.u.

Cell: 4.2480 4.2480 6.8175 Å, 90.00 90.00 90.00°
Sites, in units of the cell vectors:
Ni 0.0000 0.0000 0.0000
Se 0.0000 0.5000 0.5000
Se 0.5000 0.0000 0.5000
Br 0.5000 0.5000 0.0000
F 0.5000 0.5000 0.5000